Record 1
Compound: NaInPb
Source: Alexandria
Functional: GGA-PBE
Structure: relaxed

Values from the calculation:
N(E_F) = 1.38 states/eV/f.u.
Energy of formation = -0.099 eV/atom

a b c (Å): 4.901 5.075 7.260
angles (deg): 90.00 109.82 90.00
Space group P2_1/m (No. 11)
Unique sites:
Na: 0.083 0.250 0.166
In: 0.417 0.250 0.832
Pb: 0.244 0.750 0.490

Record 2
Compound: Na5InPb2
Source: Alexandria
Functional: GGA-PBE
Structure: relaxed

Values from the calculation:
N(E_F) = 3.21 states/eV/f.u.
Energy of formation = -0.087 eV/atom

a b c (Å): 5.6127 5.6127 19.4736
angles (deg): 90.00 90.00 120.00
Space group P6_3/mmc (No. 194)
Unique sites:
Na: 0.0000 0.0000 0.1465
Na: 0.3333 0.6667 0.0597
Na: 0.3333 0.6667 0.2500
In: 0.3333 0.6667 0.7500
Pb: 0.3333 0.6667 0.6052

Record 3
Compound: NaIn2Pb9
Source: Alexandria
Functional: GGA-PBE
Structure: relaxed

Values from the calculation:
N(E_F) = 5.83 states/eV/f.u.
Energy of formation = -0.026 eV/atom

a b c (Å): 4.925 4.925 15.076
angles (deg): 90.00 90.00 90.00
Space group P4/mmm (No. 123)
Unique sites:
Na: 0.000 0.000 0.000
In: 0.000 0.000 0.333
Pb: 0.000 0.500 0.165
Pb: 0.000 0.500 0.500
Pb: 0.500 0.500 0.000
Pb: 0.500 0.500 0.331